No. 1
Computed, not measured: crystalline SrZnPbO4 at its relaxed geometry at the PBE level of DFT.

Cell: 6.7090 6.7090 6.7090 Å, 119.22 118.35 92.12°
Last column: nearest neighbours and their distance in Å.
Fractional coordinates of all 14 atoms:
1 Sr 0.3832 0.1332 0.2500  4 O 2.35-2.37
2 Sr 0.6168 0.8668 0.7500  4 O 2.35-2.37
3 Zn 0.0000 0.0000 0.5000  6 O 2.22-2.23
4 Zn 0.0000 0.5000 0.0000  6 O 2.22-2.23
5 Pb 0.0000 0.5000 0.5000  6 O 2.17-2.26
6 Pb 0.5000 0.5000 0.0000  6 O 2.17-2.26
7 O 0.1894 0.7312 0.4582  1 Pb 2.17, 2 Zn 2.23, 1 Sr 2.37
8 O 0.2270 0.2688 0.9582  1 Pb 2.17, 2 Zn 2.23, 1 Sr 2.37
9 O 0.2377 0.2711 0.5334  1 Zn 2.22, 2 Pb 2.26, 1 Sr 2.35
10 O 0.2377 0.7043 0.9666  1 Zn 2.22, 2 Pb 2.26, 1 Sr 2.35
11 O 0.7623 0.2957 0.0334  1 Zn 2.22, 2 Pb 2.26, 1 Sr 2.35
12 O 0.7623 0.7289 0.4666  1 Zn 2.22, 2 Pb 2.26, 1 Sr 2.35
13 O 0.7730 0.7312 0.0418  1 Pb 2.17, 2 Zn 2.23, 1 Sr 2.37
14 O 0.8106 0.2688 0.5418  1 Pb 2.17, 2 Zn 2.23, 1 Sr 2.37

## Properties
- Formation energy from raw total energies: -1.546 eV per atom
- SG: Imma
- Total magnetization: 0.00 μB/f.u.


No. 2
Computed, not measured: crystalline Sr5ZnPb3O12 at its relaxed geometry at the PBE level of DFT.

Cell: 10.3312 10.3312 3.5786 Å, 90.00 90.00 120.00°
Last column: nearest neighbours and their distance in Å.
Fractional coordinates of all 21 atoms:
1 Sr 0.0000 0.3027 0.9998  5 O 2.41-2.59
2 Sr 0.3027 0.0000 0.9998  5 O 2.41-2.59
3 Sr 0.3333 0.6667 0.0000  9 O 2.69-3.00
4 Sr 0.6667 0.3333 0.0000  9 O 2.69-3.00
5 Sr 0.6973 0.6973 0.9998  5 O 2.41-2.59
6 Zn 0.0000 0.0000 0.0021  3 O 1.88
7 Pb 0.0000 0.6629 0.4999  4 O 2.14-2.22
8 Pb 0.3371 0.3371 0.4999  4 O 2.14-2.22
9 Pb 0.6629 0.0000 0.4999  4 O 2.14-2.22
10 O 0.0000 0.5355 0.9999  2 Pb 2.22, 1 Sr 2.41
11 O 0.0000 0.8178 0.0007  1 Zn 1.88
12 O 0.1822 0.1822 0.0007  1 Zn 1.88
13 O 0.2050 0.4435 0.5000  1 Pb 2.14
14 O 0.2386 0.7950 0.5000  1 Pb 2.14
15 O 0.4435 0.2050 0.5000  1 Pb 2.14
16 O 0.4645 0.4645 0.9999  2 Pb 2.22, 1 Sr 2.41
17 O 0.5355 0.0000 0.9999  2 Pb 2.22, 1 Sr 2.41
18 O 0.5565 0.7614 0.5000  1 Pb 2.14
19 O 0.7614 0.5565 0.5000  1 Pb 2.14
20 O 0.7950 0.2386 0.5000  1 Pb 2.14
21 O 0.8178 0.0000 0.0007  1 Zn 1.88

## Properties
- Formation energy from raw total energies: -1.924 eV per atom
- SG: P31m
- Total magnetization: 0.00 μB/f.u.